Entry 1:
# ReTc2Pb GGA-PBE optimized geometry
data_ReTc2Pb
_cell_length_a 4.563
_cell_length_b 4.563
_cell_length_c 4.563
_cell_angle_alpha 60.00
_cell_angle_beta 60.00
_cell_angle_gamma 60.00
_space_group_name_H-M_alt 'P 1'
_space_group_IT_number 1
loop_
_space_group_symop_operation_xyz
'x,y,z'
loop_
_atom_site_label
_atom_site_type_symbol
_atom_site_fract_x
_atom_site_fract_y
_atom_site_fract_z
Pb1 Pb 0.500 0.500 0.500
Re1 Re 0.750 0.750 0.750
Tc1 Tc 0.000 0.000 0.000
Tc2 Tc 0.250 0.250 0.250
# DOS(E_F) (states/eV per cell): 5.2
# Total magnetic moment (μB/cell): 1.7
# Uncorrected energy (eV/atom): -8.437
# Crystal system: cubic
# SG: F-43m (216)

Entry 2:
# ReTc2Pb GGA-PBE optimized geometry
data_ReTc2Pb
_cell_length_a 2.930
_cell_length_b 4.024
_cell_length_c 5.857
_cell_angle_alpha 90.00
_cell_angle_beta 90.00
_cell_angle_gamma 90.00
_space_group_name_H-M_alt 'P 1'
_space_group_IT_number 1
loop_
_space_group_symop_operation_xyz
'x,y,z'
loop_
_atom_site_label
_atom_site_type_symbol
_atom_site_fract_x
_atom_site_fract_y
_atom_site_fract_z
Tc1 Tc 0.000 0.000 0.983
Tc2 Tc 0.500 0.500 0.221
Pb1 Pb 0.000 0.000 0.489
Re1 Re 0.500 0.500 0.807
# DOS(E_F) (states/eV per cell): 3.9
# Total magnetic moment (μB/cell): 0.0
# Uncorrected energy (eV/atom): -8.629
# Crystal system: orthorhombic
# SG: Pmm2 (25)

Entry 3:
# Re2TcPb GGA-PBE optimized geometry
data_Re2TcPb
_cell_length_a 4.554
_cell_length_b 4.554
_cell_length_c 4.554
_cell_angle_alpha 60.00
_cell_angle_beta 60.00
_cell_angle_gamma 60.00
_space_group_name_H-M_alt 'P 1'
_space_group_IT_number 1
loop_
_space_group_symop_operation_xyz
'x,y,z'
loop_
_atom_site_label
_atom_site_type_symbol
_atom_site_fract_x
_atom_site_fract_y
_atom_site_fract_z
Re1 Re 0.750 0.750 0.750
Re2 Re 0.000 0.000 0.000
Tc1 Tc 0.250 0.250 0.250
Pb1 Pb 0.500 0.500 0.500
# DOS(E_F) (states/eV per cell): 3.6
# Total magnetic moment (μB/cell): 0.0
# Uncorrected energy (eV/atom): -8.924
# Crystal system: cubic
# SG: F-43m (216)

Entry 4:
# Re2TcPb GGA-PBE optimized geometry
data_Re2TcPb
_cell_length_a 2.955
_cell_length_b 2.955
_cell_length_c 7.852
_cell_angle_alpha 90.00
_cell_angle_beta 90.00
_cell_angle_gamma 90.01
_space_group_name_H-M_alt 'P 1'
_space_group_IT_number 1
loop_
_space_group_symop_operation_xyz
'x,y,z'
loop_
_atom_site_label
_atom_site_type_symbol
_atom_site_fract_x
_atom_site_fract_y
_atom_site_fract_z
Tc1 Tc 0.000 0.000 0.469
Re1 Re 0.500 0.500 0.250
Re2 Re 0.000 0.000 0.033
Pb1 Pb 0.500 0.500 0.748
# DOS(E_F) (states/eV per cell): 5.4
# Total magnetic moment (μB/cell): 0.0
# Uncorrected energy (eV/atom): -9.182
# Crystal system: tetragonal
# SG: P4mm (99)

Entry 5:
# Re2TcPb GGA-PBE optimized geometry
data_Re2TcPb
_cell_length_a 5.396
_cell_length_b 5.396
_cell_length_c 5.396
_cell_angle_alpha 144.99
_cell_angle_beta 131.77
_cell_angle_gamma 60.98
_space_group_name_H-M_alt 'P 1'
_space_group_IT_number 1
loop_
_space_group_symop_operation_xyz
'x,y,z'
loop_
_atom_site_label
_atom_site_type_symbol
_atom_site_fract_x
_atom_site_fract_y
_atom_site_fract_z
Re1 Re 0.001 0.001 0.000
Re2 Re 0.499 0.499 0.000
Tc1 Tc 0.750 0.250 0.500
Pb1 Pb 0.250 0.750 0.500
# DOS(E_F) (states/eV per cell): 2.4
# Total magnetic moment (μB/cell): 0.0
# Uncorrected energy (eV/atom): -8.967
# Crystal system: orthorhombic
# SG: Immm (71)

Entry 6:
# Re2TcPb GGA-PBE optimized geometry
data_Re2TcPb
_cell_length_a 2.825
_cell_length_b 2.825
_cell_length_c 9.982
_cell_angle_alpha 90.00
_cell_angle_beta 90.00
_cell_angle_gamma 115.57
_space_group_name_H-M_alt 'P 1'
_space_group_IT_number 1
loop_
_space_group_symop_operation_xyz
'x,y,z'
loop_
_atom_site_label
_atom_site_type_symbol
_atom_site_fract_x
_atom_site_fract_y
_atom_site_fract_z
Tc1 Tc 0.500 0.500 0.250
Re1 Re 0.000 0.000 0.465
Re2 Re 0.000 0.000 0.035
Pb1 Pb 0.500 0.500 0.750
# DOS(E_F) (states/eV per cell): 4.8
# Total magnetic moment (μB/cell): 0.0
# Uncorrected energy (eV/atom): -8.850
# Crystal system: orthorhombic
# SG: Cmmm (65)

Entry 7:
# Re2TcPb GGA-PBE optimized geometry
data_Re2TcPb
_cell_length_a 9.416
_cell_length_b 9.416
_cell_length_c 9.416
_cell_angle_alpha 17.95
_cell_angle_beta 17.95
_cell_angle_gamma 17.95
_space_group_name_H-M_alt 'P 1'
_space_group_IT_number 1
loop_
_space_group_symop_operation_xyz
'x,y,z'
loop_
_atom_site_label
_atom_site_type_symbol
_atom_site_fract_x
_atom_site_fract_y
_atom_site_fract_z
Pb1 Pb 0.751 0.751 0.751
Re1 Re 0.249 0.249 0.249
Re2 Re 0.991 0.991 0.991
Tc1 Tc 0.509 0.509 0.509
# DOS(E_F) (states/eV per cell): 2.6
# Total magnetic moment (μB/cell): 0.0
# Uncorrected energy (eV/atom): -9.172
# Crystal system: trigonal
# SG: R3m (160)

Entry 8:
# Re2TcPb GGA-PBE optimized geometry
data_Re2TcPb
_cell_length_a 2.913
_cell_length_b 3.978
_cell_length_c 6.032
_cell_angle_alpha 90.00
_cell_angle_beta 90.00
_cell_angle_gamma 90.00
_space_group_name_H-M_alt 'P 1'
_space_group_IT_number 1
loop_
_space_group_symop_operation_xyz
'x,y,z'
loop_
_atom_site_label
_atom_site_type_symbol
_atom_site_fract_x
_atom_site_fract_y
_atom_site_fract_z
Pb1 Pb 0.500 0.500 0.738
Re1 Re 0.000 0.000 0.060
Re2 Re 0.500 0.500 0.232
Tc1 Tc 0.000 0.000 0.471
# DOS(E_F) (states/eV per cell): 3.7
# Total magnetic moment (μB/cell): 0.0
# Uncorrected energy (eV/atom): -9.098
# Crystal system: orthorhombic
# SG: Pmm2 (25)

Entry 9:
# ReTcTe2Pb GGA-PBE optimized geometry
data_ReTcTe2Pb
_cell_length_a 5.185
_cell_length_b 5.321
_cell_length_c 5.185
_cell_angle_alpha 90.00
_cell_angle_beta 90.00
_cell_angle_gamma 90.00
_space_group_name_H-M_alt 'P 1'
_space_group_IT_number 1
loop_
_space_group_symop_operation_xyz
'x,y,z'
loop_
_atom_site_label
_atom_site_type_symbol
_atom_site_fract_x
_atom_site_fract_y
_atom_site_fract_z
Re1 Re 0.500 0.500 0.500
Pb1 Pb 0.000 0.500 0.000
Te1 Te 0.000 0.000 0.500
Te2 Te 0.500 0.000 0.000
Tc1 Tc 0.000 0.000 0.000
# DOS(E_F) (states/eV per cell): 5.1
# Formation energy from raw total energies (eV/atom): 1.49
# Total magnetic moment (μB/cell): 2.9
# Crystal system: tetragonal
# SG: P4/mmm (123)

Entry 10:
# TlRe2TcPb GGA-PBE optimized geometry
data_TlRe2TcPb
_cell_length_a 4.783
_cell_length_b 5.238
_cell_length_c 4.783
_cell_angle_alpha 90.00
_cell_angle_beta 90.00
_cell_angle_gamma 90.00
_space_group_name_H-M_alt 'P 1'
_space_group_IT_number 1
loop_
_space_group_symop_operation_xyz
'x,y,z'
loop_
_atom_site_label
_atom_site_type_symbol
_atom_site_fract_x
_atom_site_fract_y
_atom_site_fract_z
Tc1 Tc 0.000 0.000 0.000
Pb1 Pb 0.500 0.500 0.500
Re1 Re 0.000 0.000 0.500
Re2 Re 0.500 0.000 0.000
Tl1 Tl 0.000 0.500 0.000
# DOS(E_F) (states/eV per cell): 5.2
# Total magnetic moment (μB/cell): 1.5
# Uncorrected energy (eV/atom): -6.660
# Crystal system: tetragonal
# SG: P4/mmm (123)

Entry 11:
# Re2TePb GGA-PBE optimized geometry
data_Re2TePb
_cell_length_a 4.706
_cell_length_b 4.706
_cell_length_c 4.706
_cell_angle_alpha 60.00
_cell_angle_beta 60.00
_cell_angle_gamma 60.00
_space_group_name_H-M_alt 'P 1'
_space_group_IT_number 1
loop_
_space_group_symop_operation_xyz
'x,y,z'
loop_
_atom_site_label
_atom_site_type_symbol
_atom_site_fract_x
_atom_site_fract_y
_atom_site_fract_z
Re1 Re 0.250 0.250 0.250
Re2 Re 0.750 0.750 0.750
Te1 Te 0.000 0.000 0.000
Pb1 Pb 0.500 0.500 0.500
# DOS(E_F) (states/eV per cell): 2.8
# Formation energy from raw total energies (eV/atom): 1.06
# Total magnetic moment (μB/cell): 0.0
# Crystal system: cubic
# Energy above the lowest structure with this stoichiometry (eV/f.u.): 2.455
# SG: Fm-3m (225)

Entry 12:
# Re2TePb GGA-PBE optimized geometry
data_Re2TePb
_cell_length_a 3.306
_cell_length_b 3.306
_cell_length_c 6.763
_cell_angle_alpha 90.00
_cell_angle_beta 90.00
_cell_angle_gamma 90.00
_space_group_name_H-M_alt 'P 1'
_space_group_IT_number 1
loop_
_space_group_symop_operation_xyz
'x,y,z'
loop_
_atom_site_label
_atom_site_type_symbol
_atom_site_fract_x
_atom_site_fract_y
_atom_site_fract_z
Re1 Re 0.000 0.000 0.482
Re2 Re 0.000 0.000 0.018
Pb1 Pb 0.500 0.500 0.750
Te1 Te 0.500 0.500 0.250
# DOS(E_F) (states/eV per cell): 4.0
# Formation energy from raw total energies (eV/atom): 1.02
# Total magnetic moment (μB/cell): 0.0
# Crystal system: tetragonal
# Energy above the lowest structure with this stoichiometry (eV/f.u.): 2.299
# SG: P4/mmm (123)

Entry 13:
# Re2TePb GGA-PBE optimized geometry
data_Re2TePb
_cell_length_a 4.166
_cell_length_b 3.224
_cell_length_c 7.290
_cell_angle_alpha 90.15
_cell_angle_beta 90.00
_cell_angle_gamma 90.00
_space_group_name_H-M_alt 'P 1'
_space_group_IT_number 1
loop_
_space_group_symop_operation_xyz
'x,y,z'
loop_
_atom_site_label
_atom_site_type_symbol
_atom_site_fract_x
_atom_site_fract_y
_atom_site_fract_z
Te1 Te 0.000 0.377 0.415
Re1 Re 0.000 0.875 0.112
Re2 Re 0.500 0.375 0.156
Pb1 Pb 0.500 0.873 0.817
# DOS(E_F) (states/eV per cell): 1.4
# Formation energy from raw total energies (eV/atom): 0.55
# Total magnetic moment (μB/cell): 0.0
# Crystal system: monoclinic
# Energy above the lowest structure with this stoichiometry (eV/f.u.): 0.423
# SG: Pm (6)

Entry 14:
# ReTe2Pb GGA-PBE optimized geometry
data_ReTe2Pb
_cell_length_a 12.607
_cell_length_b 12.607
_cell_length_c 12.607
_cell_angle_alpha 14.29
_cell_angle_beta 14.29
_cell_angle_gamma 14.29
_space_group_name_H-M_alt 'P 1'
_space_group_IT_number 1
loop_
_space_group_symop_operation_xyz
'x,y,z'
loop_
_atom_site_label
_atom_site_type_symbol
_atom_site_fract_x
_atom_site_fract_y
_atom_site_fract_z
Te1 Te 0.070 0.070 0.070
Te2 Te 0.930 0.930 0.930
Re1 Re 0.000 0.000 0.000
Pb1 Pb 0.500 0.500 0.500
# DOS(E_F) (states/eV per cell): 5.0
# Formation energy from raw total energies (eV/atom): 0.76
# Total magnetic moment (μB/cell): 0.0
# Crystal system: trigonal
# SG: R-3m (166)

Entry 15:
# Re2TePb GGA-PBE optimized geometry
data_Re2TePb
_cell_length_a 4.818
_cell_length_b 4.818
_cell_length_c 4.818
_cell_angle_alpha 60.00
_cell_angle_beta 60.00
_cell_angle_gamma 60.00
_space_group_name_H-M_alt 'P 1'
_space_group_IT_number 1
loop_
_space_group_symop_operation_xyz
'x,y,z'
loop_
_atom_site_label
_atom_site_type_symbol
_atom_site_fract_x
_atom_site_fract_y
_atom_site_fract_z
Re1 Re 0.250 0.250 0.250
Re2 Re 0.000 0.000 0.000
Te1 Te 0.750 0.750 0.750
Pb1 Pb 0.500 0.500 0.500
# DOS(E_F) (states/eV per cell): 4.0
# Formation energy from raw total energies (eV/atom): 1.34
# Total magnetic moment (μB/cell): 0.0
# Crystal system: cubic
# Energy above the lowest structure with this stoichiometry (eV/f.u.): 3.596
# SG: F-43m (216)

Entry 16:
# ReTe2Pb GGA-PBE optimized geometry
data_ReTe2Pb
_cell_length_a 3.146
_cell_length_b 3.146
_cell_length_c 11.213
_cell_angle_alpha 90.00
_cell_angle_beta 90.00
_cell_angle_gamma 112.84
_space_group_name_H-M_alt 'P 1'
_space_group_IT_number 1
loop_
_space_group_symop_operation_xyz
'x,y,z'
loop_
_atom_site_label
_atom_site_type_symbol
_atom_site_fract_x
_atom_site_fract_y
_atom_site_fract_z
Pb1 Pb 0.000 0.000 0.546
Te1 Te 0.000 0.000 0.943
Te2 Te 0.500 0.500 0.248
Re1 Re 0.500 0.500 0.763
# DOS(E_F) (states/eV per cell): 2.5
# Formation energy from raw total energies (eV/atom): 0.63
# Total magnetic moment (μB/cell): 0.0
# Crystal system: orthorhombic
# SG: Cmm2 (35)

Entry 17:
# ReTe2Pb GGA-PBE optimized geometry
data_ReTe2Pb
_cell_length_a 6.983
_cell_length_b 6.983
_cell_length_c 6.983
_cell_angle_alpha 152.37
_cell_angle_beta 136.19
_cell_angle_gamma 52.59
_space_group_name_H-M_alt 'P 1'
_space_group_IT_number 1
loop_
_space_group_symop_operation_xyz
'x,y,z'
loop_
_atom_site_label
_atom_site_type_symbol
_atom_site_fract_x
_atom_site_fract_y
_atom_site_fract_z
Pb1 Pb 0.750 0.250 0.500
Re1 Re 0.250 0.750 0.500
Te1 Te 0.423 0.423 0.000
Te2 Te 0.077 0.077 0.000
# DOS(E_F) (states/eV per cell): 4.2
# Formation energy from raw total energies (eV/atom): 0.43
# Total magnetic moment (μB/cell): 0.0
# Crystal system: orthorhombic
# SG: Immm (71)

Entry 18:
# ReTePb2 GGA-PBE optimized geometry
data_ReTePb2
_cell_length_a 5.878
_cell_length_b 5.878
_cell_length_c 5.878
_cell_angle_alpha 134.86
_cell_angle_beta 134.86
_cell_angle_gamma 65.75
_space_group_name_H-M_alt 'P 1'
_space_group_IT_number 1
loop_
_space_group_symop_operation_xyz
'x,y,z'
loop_
_atom_site_label
_atom_site_type_symbol
_atom_site_fract_x
_atom_site_fract_y
_atom_site_fract_z
Pb1 Pb 0.500 0.500 0.000
Pb2 Pb 0.000 0.000 0.000
Te1 Te 0.750 0.250 0.500
Re1 Re 0.250 0.750 0.500
# DOS(E_F) (states/eV per cell): 3.0
# Formation energy from raw total energies (eV/atom): 0.96
# Total magnetic moment (μB/cell): 2.0
# Crystal system: tetragonal
# SG: I4/mmm (139)

Entry 19:
# ReTePb3 GGA-PBE optimized geometry
data_ReTePb3
_cell_length_a 5.365
_cell_length_b 5.365
_cell_length_c 5.365
_cell_angle_alpha 90.00
_cell_angle_beta 90.00
_cell_angle_gamma 90.00
_space_group_name_H-M_alt 'P 1'
_space_group_IT_number 1
loop_
_space_group_symop_operation_xyz
'x,y,z'
loop_
_atom_site_label
_atom_site_type_symbol
_atom_site_fract_x
_atom_site_fract_y
_atom_site_fract_z
Te1 Te 0.500 0.500 0.500
Pb1 Pb 0.000 0.500 0.000
Pb2 Pb 0.000 0.000 0.500
Pb3 Pb 0.500 0.000 0.000
Re1 Re 0.000 0.000 0.000
# DOS(E_F) (states/eV per cell): 6.4
# Formation energy from raw total energies (eV/atom): 0.41
# Total magnetic moment (μB/cell): 0.5
# Crystal system: cubic
# Energy above the lowest structure with this stoichiometry (eV/f.u.): 0.000
# SG: Pm-3m (221)

Entry 20:
# ReTePb2 GGA-PBE optimized geometry
data_ReTePb2
_cell_length_a 7.548
_cell_length_b 7.548
_cell_length_c 4.427
_cell_angle_alpha 72.87
_cell_angle_beta 72.87
_cell_angle_gamma 26.03
_space_group_name_H-M_alt 'P 1'
_space_group_IT_number 1
loop_
_space_group_symop_operation_xyz
'x,y,z'
loop_
_atom_site_label
_atom_site_type_symbol
_atom_site_fract_x
_atom_site_fract_y
_atom_site_fract_z
Te1 Te 0.750 0.750 0.750
Pb1 Pb 0.926 0.926 0.074
Pb2 Pb 0.574 0.574 0.426
Re1 Re 0.250 0.250 0.250
# DOS(E_F) (states/eV per cell): 4.1
# Formation energy from raw total energies (eV/atom): 0.61
# Total magnetic moment (μB/cell): 0.0
# Crystal system: monoclinic
# SG: C2/m (12)